Below is crystalline Na2AlCrP4O14 at its relaxed geometry, with properties calculated at the PBE with a Hubbard U level.

Total energy, eV/atom: -7.104
V, Å³ per cell: 512.5

abc: 7.340 7.897 9.510
angles: 90.00 111.61 90.00
Sites, in units of the cell vectors:
Na  0.210  0.000  0.454
Na  0.210  0.553  0.955
Na  0.790  0.053  0.045
Na  0.790  0.500  0.546
Al  0.241  0.016  0.001
Al  0.759  0.516  0.999
Cr  0.240  0.534  0.503
Cr  0.760  0.034  0.497
P  0.167  0.315  0.199
P  0.176  0.233  0.707
P  0.422  0.784  0.294
P  0.433  0.774  0.802
P  0.567  0.274  0.198
P  0.578  0.284  0.706
P  0.824  0.733  0.293
P  0.833  0.815  0.801
O  0.020  0.438  0.094
O  0.036  0.111  0.594
O  0.140  0.131  0.142
O  0.142  0.420  0.658
O  0.186  0.323  0.365
O  0.190  0.214  0.870
O  0.304  0.666  0.352
O  0.309  0.822  0.128
O  0.313  0.742  0.634
O  0.323  0.892  0.867
O  0.371  0.380  0.186
O  0.383  0.178  0.693
O  0.488  0.943  0.393
O  0.499  0.111  0.106
O  0.501  0.611  0.894
O  0.512  0.443  0.607
O  0.617  0.678  0.307
O  0.629  0.880  0.814
O  0.677  0.392  0.133
O  0.687  0.242  0.366
O  0.691  0.322  0.872
O  0.696  0.166  0.648
O  0.810  0.714  0.130
O  0.814  0.823  0.635
O  0.858  0.920  0.342
O  0.860  0.631  0.858
O  0.964  0.611  0.406
O  0.980  0.938  0.906